This record from Alexandria describes a relaxed structure of LiY4Fe. The functional is PBE.

## Properties
total moment	2.81	μB/cell
Fermi-level density of states	1.636	states/eV/atom
energy of formation from the pure elements	0.7808	eV per atom
space-group type	F-43m
crystal system	cubic
volume	179.32	Å³/cell

a b c (Å): 6.330 6.330 6.330
angles (deg): 60.00 60.00 60.00
Each line ends with the local moment (μB).
Fractional coordinates of all 6 atoms:
Li (0.000, 0.000, 0.000)  0.00
Y (0.872, 0.376, 0.376)  -0.04
Y (0.376, 0.376, 0.872)  -0.04
Y (0.376, 0.872, 0.376)  -0.04
Y (0.376, 0.376, 0.376)  -0.04
Fe (0.750, 0.750, 0.750)  3.18



This record from Alexandria describes a relaxed structure of LiYFe3. The functional is PBE.

## Properties
total moment	7.13	μB/cell
Fermi-level density of states	1.936	states/eV/atom
energy of formation from the pure elements	1.6375	eV per atom
space-group type	Pm-3m
crystal system	cubic
volume	114.48	Å³/cell

a b c (Å): 4.856 4.856 4.856
angles (deg): 90.00 90.00 90.00
Each line ends with the local moment (μB).
Fractional coordinates of all 5 atoms:
Y (0.000, 0.000, 0.000)  -0.45
Fe (0.000, 0.500, 0.000)  2.57
Fe (0.000, 0.000, 0.500)  2.51
Fe (0.500, 0.000, 0.000)  2.64
Li (0.500, 0.500, 0.500)  -0.01



This record from Alexandria describes a relaxed structure of LiYFe3. The functional is PBE.

## Properties
total moment	5.95	μB/cell
Fermi-level density of states	1.119	states/eV/atom
energy of formation from the pure elements	0.6922	eV per atom
space-group type	Pm-3m
crystal system	cubic
volume	76.39	Å³/cell

a b c (Å): 4.243 4.243 4.243
angles (deg): 90.00 90.00 90.00
Each line ends with the local moment (μB).
Fractional coordinates of all 5 atoms:
Y (0.500, 0.500, 0.500)  -0.35
Fe (0.000, 0.500, 0.000)  2.47
Fe (0.000, 0.000, 0.500)  2.46
Fe (0.500, 0.000, 0.000)  1.89
Li (0.000, 0.000, 0.000)  -0.09



This record from Alexandria describes a relaxed structure of LiYFe4. The functional is PBE.

## Properties
total moment	7.04	μB/cell
Fermi-level density of states	1.123	states/eV/atom
energy of formation from the pure elements	0.0843	eV per atom
space-group type	F-43m
crystal system	cubic
volume	86.51	Å³/cell

a b c (Å): 4.964 4.964 4.964
angles (deg): 60.00 60.00 60.00
Each line ends with the local moment (μB).
Fractional coordinates of all 6 atoms:
Li (0.750, 0.750, 0.750)  -0.08
Y (0.000, 0.000, 0.000)  -0.29
Fe (0.873, 0.376, 0.376)  1.93
Fe (0.376, 0.376, 0.873)  1.93
Fe (0.376, 0.873, 0.376)  1.93
Fe (0.376, 0.376, 0.376)  1.93



This record from Alexandria describes a relaxed structure of LiYZrFe. The functional is PBE.

## Properties
total moment	0.00	μB/cell
Fermi-level density of states	1.019	states/eV/atom
energy of formation from the pure elements	0.0729	eV per atom
space-group type	F-43m
crystal system	cubic
volume	73.64	Å³/cell

a b c (Å): 4.705 4.705 4.705
angles (deg): 60.00 60.00 60.00
Fractional coordinates of all 4 atoms:
Y (0.750, 0.750, 0.750)
Fe (0.500, 0.500, 0.500)
Zr (0.250, 0.250, 0.250)
Li (0.000, 0.000, 0.000)



This record from Alexandria describes a relaxed structure of Li2ZnFe. The functional is PBE.

## Properties
total moment	4.92	μB/cell
Fermi-level density of states	0.786	states/eV/atom
energy of formation from the pure elements	0.3799	eV per atom
space-group type	I-42d
crystal system	tetragonal
volume	118.28	Å³/cell

a b c (Å): 6.881 6.881 5.470
angles (deg): 51.02 51.02 90.00
Each line ends with the local moment (μB).
Fractional coordinates of all 8 atoms:
Zn (0.000, 0.000, 0.000)  -0.05
Zn (0.750, 0.250, 0.500)  -0.05
Fe (0.500, 0.500, 0.000)  2.69
Fe (0.250, 0.750, 0.500)  2.70
Li (0.629, 0.125, 0.250)  -0.04
Li (0.121, 0.625, 0.250)  -0.04
Li (0.375, 0.371, 0.750)  -0.04
Li (0.875, 0.879, 0.750)  -0.04



This record from Alexandria describes a relaxed structure of Li2ZnFe2. The functional is PBE.

## Properties
total moment	9.91	μB/cell
Fermi-level density of states	0.786	states/eV/atom
energy of formation from the pure elements	0.3935	eV per atom
space-group type	P4/mbm
crystal system	tetragonal
volume	133.89	Å³/cell

a b c (Å): 7.206 7.206 2.578
angles (deg): 90.00 90.00 90.00
Each line ends with the local moment (μB).
Fractional coordinates of all 10 atoms:
Zn (0.000, 0.000, 0.000)  -0.04
Zn (0.500, 0.500, 0.000)  -0.04
Fe (0.113, 0.613, 0.500)  2.55
Fe (0.613, 0.887, 0.500)  2.57
Fe (0.887, 0.387, 0.500)  2.55
Fe (0.387, 0.113, 0.500)  2.57
Li (0.319, 0.819, 0.000)  -0.05
Li (0.819, 0.681, 0.000)  -0.05
Li (0.681, 0.181, 0.000)  -0.05
Li (0.181, 0.319, 0.000)  -0.05



This record from Alexandria describes a relaxed structure of LiZnFe2. The functional is PBE.

## Properties
total moment	4.26	μB/cell
Fermi-level density of states	0.772	states/eV/atom
energy of formation from the pure elements	0.1171	eV per atom
space-group type	P4/mmm
crystal system	tetragonal
volume	48.47	Å³/cell

a b c (Å): 3.485 3.485 3.990
angles (deg): 90.00 90.00 90.00
Each line ends with the local moment (μB).
Fractional coordinates of all 4 atoms:
Fe (0.000, 0.000, 0.000)  2.28
Fe (0.500, 0.500, 0.000)  2.28
Li (0.500, 0.000, 0.500)  -0.08
Zn (0.000, 0.500, 0.500)  -0.10



This record from Alexandria describes a relaxed structure of LiZn2Fe. The functional is PBE.

## Properties
total moment	4.51	μB/cell
Fermi-level density of states	0.847	states/eV/atom
energy of formation from the pure elements	0.3780	eV per atom
space-group type	I-42d
crystal system	tetragonal
volume	119.90	Å³/cell

a b c (Å): 3.657 3.657 9.329
angles (deg): 78.70 78.70 90.00
Each line ends with the local moment (μB).
Fractional coordinates of all 8 atoms:
Zn (0.631, 0.125, 0.250)  -0.05
Zn (0.119, 0.625, 0.250)  -0.05
Zn (0.375, 0.369, 0.750)  -0.06
Zn (0.875, 0.881, 0.750)  -0.06
Fe (0.000, 0.000, 0.000)  2.55
Fe (0.750, 0.250, 0.500)  2.55
Li (0.500, 0.500, 0.000)  -0.06
Li (0.250, 0.750, 0.500)  -0.06



This record from Alexandria describes a relaxed structure of LiZnFe2. The functional is PBE.

## Properties
total moment	4.79	μB/cell
Fermi-level density of states	0.872	states/eV/atom
energy of formation from the pure elements	0.2803	eV per atom
space-group type	P4/mmm
crystal system	tetragonal
volume	49.25	Å³/cell

a b c (Å): 3.008 3.008 5.444
angles (deg): 90.00 90.00 90.00
Each line ends with the local moment (μB).
Fractional coordinates of all 4 atoms:
Fe (0.000, 0.000, 0.012)  2.51
Fe (0.000, 0.000, 0.488)  2.51
Li (0.500, 0.500, 0.250)  -0.07
Zn (0.500, 0.500, 0.750)  -0.08



This record from Alexandria describes a relaxed structure of Li2ZnFe. The functional is PBE.

## Properties
total moment	2.36	μB/cell
Fermi-level density of states	0.711	states/eV/atom
energy of formation from the pure elements	0.1316	eV per atom
space-group type	P4/mmm
crystal system	tetragonal
volume	55.16	Å³/cell

a b c (Å): 2.548 2.548 8.499
angles (deg): 90.00 90.00 90.00
Each line ends with the local moment (μB).
Fractional coordinates of all 4 atoms:
Fe (0.500, 0.500, 0.750)  2.60
Li (0.000, 0.000, 0.996)  -0.05
Li (0.000, 0.000, 0.504)  -0.05
Zn (0.500, 0.500, 0.250)  0.01



This record from Alexandria describes a relaxed structure of Li2ZnFe. The functional is PBE.

## Properties
total moment	2.25	μB/cell
Fermi-level density of states	0.592	states/eV/atom
energy of formation from the pure elements	0.0741	eV per atom
space-group type	P4mm
crystal system	tetragonal
volume	57.34	Å³/cell

a b c (Å): 2.661 2.661 8.101
angles (deg): 90.00 90.00 89.99
Each line ends with the local moment (μB).
Fractional coordinates of all 4 atoms:
Fe (0.500, 0.500, 0.736)  2.50
Li (0.000, 0.000, 0.978)  -0.06
Li (0.500, 0.500, 0.272)  -0.01
Zn (0.000, 0.000, 0.514)  -0.04



This record from Alexandria describes a relaxed structure of LiZn2Fe. The functional is PBE.

## Properties
total moment	2.46	μB/cell
Fermi-level density of states	0.504	states/eV/atom
energy of formation from the pure elements	0.0556	eV per atom
space-group type	P4mm
crystal system	tetragonal
volume	55.39	Å³/cell

a b c (Å): 2.619 2.619 8.073
angles (deg): 90.00 90.00 90.00
Each line ends with the local moment (μB).
Fractional coordinates of all 4 atoms:
Fe (0.000, 0.000, 0.491)  2.58
Li (0.500, 0.500, 0.747)  -0.04
Zn (0.000, 0.000, 0.000)  0.01
Zn (0.500, 0.500, 0.262)  -0.04



This record from Alexandria describes a relaxed structure of LiZnFe2. The functional is PBE.

## Properties
total moment	5.12	μB/cell
Fermi-level density of states	0.990	states/eV/atom
energy of formation from the pure elements	0.1774	eV per atom
space-group type	R-3m
crystal system	trigonal
volume	51.84	Å³/cell

a b c (Å): 9.126 9.126 9.126
angles (deg): 16.24 16.24 16.24
Each line ends with the local moment (μB).
Fractional coordinates of all 4 atoms:
Fe (0.001, 0.001, 0.001)  2.63
Fe (0.499, 0.499, 0.499)  2.63
Li (0.250, 0.250, 0.250)  -0.06
Zn (0.750, 0.750, 0.750)  -0.01



This record from Alexandria describes a relaxed structure of LiZn2Fe. The functional is PBE.

## Properties
total moment	2.35	μB/cell
Fermi-level density of states	0.842	states/eV/atom
energy of formation from the pure elements	0.0542	eV per atom
space-group type	Pmm2
crystal system	orthorhombic
volume	53.97	Å³/cell

a b c (Å): 2.592 3.990 5.219
angles (deg): 90.00 90.00 90.00
Each line ends with the local moment (μB).
Fractional coordinates of all 4 atoms:
Fe (0.000, 0.000, 0.489)  2.44
Li (0.500, 0.500, 0.752)  -0.02
Zn (0.000, 0.000, 0.988)  -0.02
Zn (0.500, 0.500, 0.271)  -0.03



This record from Alexandria describes a relaxed structure of Li2ZnFe. The functional is PBE.

## Properties
total moment	2.37	μB/cell
Fermi-level density of states	0.646	states/eV/atom
energy of formation from the pure elements	0.0672	eV per atom
space-group type	R-3m
crystal system	trigonal
volume	54.48	Å³/cell

a b c (Å): 9.389 9.389 9.389
angles (deg): 15.95 15.95 15.95
Each line ends with the local moment (μB).
Fractional coordinates of all 4 atoms:
Fe (0.750, 0.750, 0.750)  2.53
Li (0.002, 0.002, 0.002)  -0.04
Li (0.498, 0.498, 0.498)  -0.04
Zn (0.250, 0.250, 0.250)  0.01



This record from Alexandria describes a relaxed structure of Li2ZnFe. The functional is PBE.

## Properties
total moment	2.04	μB/cell
Fermi-level density of states	0.813	states/eV/atom
energy of formation from the pure elements	0.1112	eV per atom
space-group type	Pmmm
crystal system	orthorhombic
volume	54.12	Å³/cell

a b c (Å): 2.684 4.415 4.567
angles (deg): 90.00 90.00 90.00
Each line ends with the local moment (μB).
Fractional coordinates of all 4 atoms:
Fe (0.000, 0.500, 0.500)  2.36
Li (0.000, 0.000, 0.000)  -0.04
Li (0.500, 0.500, 0.000)  -0.06
Zn (0.500, 0.000, 0.500)  -0.07



This record from Alexandria describes a relaxed structure of LiZn2Fe. The functional is PBE.

## Properties
total moment	2.33	μB/cell
Fermi-level density of states	0.360	states/eV/atom
energy of formation from the pure elements	-0.0373	eV per atom
space-group type	R-3m
crystal system	trigonal
volume	54.45	Å³/cell

a b c (Å): 9.053 9.053 9.053
angles (deg): 16.86 16.86 16.86
Each line ends with the local moment (μB).
Fractional coordinates of all 4 atoms:
Fe (0.250, 0.250, 0.250)  2.48
Li (0.750, 0.750, 0.750)  -0.01
Zn (0.997, 0.997, 0.997)  -0.03
Zn (0.503, 0.503, 0.503)  -0.03



This record from Alexandria describes a relaxed structure of LiZn2Fe. The functional is PBE.

## Properties
total moment	2.24	μB/cell
Fermi-level density of states	0.455	states/eV/atom
energy of formation from the pure elements	-0.0325	eV per atom
space-group type	P2/m
crystal system	monoclinic
volume	53.69	Å³/cell

a b c (Å): 3.691 2.617 6.113
angles (deg): 65.37 90.00 90.00
Each line ends with the local moment (μB).
Fractional coordinates of all 4 atoms:
Zn (0.000, 0.987, 0.011)  -0.04
Zn (0.000, 0.513, 0.489)  -0.04
Fe (0.500, 0.250, 0.250)  2.38
Li (0.500, 0.750, 0.750)  -0.02



This record from Alexandria describes a relaxed structure of LiZnFe2. The functional is PBE.

## Properties
total moment	4.31	μB/cell
Fermi-level density of states	0.722	states/eV/atom
energy of formation from the pure elements	0.1193	eV per atom
space-group type	P2/m
crystal system	monoclinic
volume	48.96	Å³/cell

a b c (Å): 4.302 2.461 4.684
angles (deg): 80.87 90.00 90.00
Each line ends with the local moment (μB).
Fractional coordinates of all 4 atoms:
Fe (0.000, 0.023, 0.002)  2.28
Fe (0.000, 0.477, 0.498)  2.28
Li (0.500, 0.250, 0.250)  -0.06
Zn (0.500, 0.750, 0.750)  -0.07